1.
The following is a PBE calculation of an optimized crystal structure of SiSbMo2, from Alexandria via LeMat-Bulk.

Cell: 4.518 4.518 4.518 Å, 60.00 60.00 60.00°
Fractional positions:
Si 0.000 0.000 0.000
Sb 0.500 0.500 0.500
Mo 0.250 0.250 0.250
Mo 0.750 0.750 0.750

Properties
space-group type = Fm-3m (225)
V = 16.31 Å³/atom
polymorph energy (0 for the lowest one) = 233 meV/atom


2.
The following is a PBE calculation of an optimized crystal structure of SiSbMo2, from Alexandria via LeMat-Bulk.

Cell: 4.579 4.579 4.579 Å, 60.00 60.00 60.00°
Fractional positions:
Mo 0.000 0.000 0.000
Mo 0.750 0.750 0.750
Si 0.250 0.250 0.250
Sb 0.500 0.500 0.500

Properties
space-group type = F-43m (216)
V = 16.97 Å³/atom
polymorph energy (0 for the lowest one) = 415 meV/atom


3.
The following is a PBE calculation of an optimized crystal structure of Si2SbMo2, from Alexandria via LeMat-Bulk.

Cell: 7.215 7.215 3.173 Å, 90.00 90.00 90.00°
Fractional positions:
Sb 0.000 0.000 0.000
Sb 0.500 0.500 0.000
Si 0.633 0.867 0.500
Si 0.867 0.367 0.500
Si 0.133 0.633 0.500
Si 0.367 0.133 0.500
Mo 0.847 0.653 0.000
Mo 0.153 0.347 0.000
Mo 0.653 0.153 0.000
Mo 0.347 0.847 0.000

Properties
space-group type = P4/mbm (127)
V = 16.51 Å³/atom
polymorph energy (0 for the lowest one) = 198 meV/atom


4.
The following is a PBE calculation of an optimized crystal structure of SiSbMo2, from Alexandria via LeMat-Bulk.

Cell: 4.946 4.946 4.946 Å, 131.46 131.46 71.08°
Fractional positions:
Sb 0.500 0.500 0.000
Si 0.750 0.250 0.500
Mo 0.000 0.000 0.000
Mo 0.250 0.750 0.500

Properties
space-group type = I-4m2 (119)
V = 16.63 Å³/atom
polymorph energy (0 for the lowest one) = 423 meV/atom


5.
The following is a PBE calculation of an optimized crystal structure of SiSbMo2, from Alexandria via LeMat-Bulk.

Cell: 4.951 4.951 4.951 Å, 138.10 120.36 75.54°
Fractional positions:
Mo 0.459 0.459 0.000
Mo 0.041 0.041 0.000
Sb 0.750 0.250 0.500
Si 0.250 0.750 0.500

Properties
space-group type = Immm (71)
V = 17.06 Å³/atom
polymorph energy (0 for the lowest one) = 277 meV/atom


6.
The following is a PBE calculation of an optimized crystal structure of SiSbMo2, from Alexandria via LeMat-Bulk.

Cell: 5.300 5.300 5.300 Å, 143.19 131.19 62.67°
Fractional positions:
Mo 0.754 0.254 0.500
Mo 0.017 0.017 0.000
Sb 0.500 0.500 0.000
Si 0.229 0.729 0.500

Properties
space-group type = Imm2 (44)
V = 16.59 Å³/atom
polymorph energy (0 for the lowest one) = 286 meV/atom


7.
The following is a PBE calculation of an optimized crystal structure of SiSb3Mo, from Alexandria via LeMat-Bulk.

Cell: 5.128 5.128 5.128 Å, 90.00 90.00 90.00°
Last column: magnetic moment on the atom in μB.
Fractional positions:
Sb 0.000 0.500 0.000  -0.09
Sb 0.000 0.000 0.500  -0.10
Sb 0.500 0.000 0.000  -0.03
Mo 0.500 0.500 0.500  3.21
Si 0.000 0.000 0.000  0.01

Properties
space-group type = Pm-3m (221)
V = 26.97 Å³/atom
polymorph energy (0 for the lowest one) = 336 meV/atom


8.
The following is a PBE calculation of an optimized crystal structure of Si4Sb2Mo, from Alexandria via LeMat-Bulk.

Cell: 4.649 4.649 8.807 Å, 74.70 74.70 90.00°
Fractional positions:
Si 0.500 0.000 0.000
Si 0.147 0.147 0.707
Si 0.853 0.853 0.293
Si 0.000 0.500 0.000
Mo 0.000 0.000 0.000
Sb 0.299 0.299 0.401
Sb 0.701 0.701 0.599

Properties
electronic total energy = -5.25 eV/atom
space-group type = I4/mmm (139)
V = 25.23 Å³/atom


9.
The following is a PBE calculation of an optimized crystal structure of SiSbMo2, from Alexandria via LeMat-Bulk.

Cell: 2.885 2.885 9.272 Å, 90.00 90.00 108.10°
Fractional positions:
Sb 0.000 0.000 0.478
Mo 0.500 0.500 0.226
Mo 0.000 0.000 0.001
Si 0.500 0.500 0.795

Properties
space-group type = Cmm2 (35)
V = 18.34 Å³/atom
polymorph energy (0 for the lowest one) = 398 meV/atom


10.
The following is a PBE calculation of an optimized crystal structure of SiSbMo, from Alexandria via LeMat-Bulk.

Cell: 3.612 3.612 8.150 Å, 90.00 90.00 90.00°
Fractional positions:
Mo 0.500 0.000 0.226
Mo 0.000 0.500 0.774
Si 0.000 0.000 0.000
Si 0.500 0.500 0.000
Sb 0.000 0.500 0.376
Sb 0.500 0.000 0.624

Properties
space-group type = P4/nmm (129)
V = 17.72 Å³/atom
polymorph energy (0 for the lowest one) = 0 meV/atom


11.
The following is a PBE calculation of an optimized crystal structure of SiSbMo2, from Alexandria via LeMat-Bulk.

Cell: 4.502 4.502 3.232 Å, 90.00 90.00 90.03°
Fractional positions:
Mo 0.000 0.000 0.000
Mo 0.500 0.500 0.000
Sb 0.500 0.000 0.500
Si 0.000 0.500 0.500

Properties
space-group type = P4/mmm (123)
V = 16.38 Å³/atom
polymorph energy (0 for the lowest one) = 255 meV/atom


12.
The following is a PBE calculation of an optimized crystal structure of SiSbMo2, from Alexandria via LeMat-Bulk.

Cell: 4.072 4.072 9.582 Å, 77.73 77.73 90.00°
Fractional positions:
Mo 0.191 0.625 0.250
Mo 0.375 0.441 0.750
Mo 0.875 0.809 0.750
Mo 0.559 0.125 0.250
Si 0.250 0.750 0.500
Si 0.500 0.500 0.000
Sb 0.750 0.250 0.500
Sb 0.000 0.000 0.000

Properties
space-group type = I-42d (122)
V = 18.95 Å³/atom
polymorph energy (0 for the lowest one) = 551 meV/atom


13.
The following is a PBE calculation of an optimized crystal structure of SiSbMo2, from Alexandria via LeMat-Bulk.

Cell: 4.903 4.903 4.654 Å, 73.80 73.80 38.47°
Fractional positions:
Si 0.261 0.261 0.180
Sb 0.498 0.498 0.544
Mo 0.749 0.749 0.714
Mo 0.992 0.992 0.063

Properties
space-group type = Cm (8)
V = 16.62 Å³/atom
polymorph energy (0 for the lowest one) = 138 meV/atom


14.
The following is a PBE calculation of an optimized crystal structure of Si2SbMo2, from Alexandria via LeMat-Bulk.

Cell: 3.474 3.474 7.214 Å, 76.07 76.07 90.00°
Fractional positions:
Si 0.250 0.750 0.500
Si 0.750 0.250 0.500
Mo 0.612 0.612 0.775
Mo 0.388 0.388 0.225
Sb 0.000 0.000 0.000

Properties
space-group type = I4/mmm (139)
V = 16.37 Å³/atom
polymorph energy (0 for the lowest one) = 0 meV/atom


15.
The following is a PBE calculation of an optimized crystal structure of SiSbMo, from Alexandria via LeMat-Bulk.

Cell: 3.250 3.250 6.065 Å, 90.00 90.00 120.00°
Fractional positions:
Si 0.667 0.333 0.701
Sb 0.333 0.667 0.319
Mo 0.000 0.000 0.979

Properties
space-group type = P3m1 (156)
V = 18.49 Å³/atom
polymorph energy (0 for the lowest one) = 295 meV/atom


16.
The following is a PBE calculation of an optimized crystal structure of SiSbMo2, from Alexandria via LeMat-Bulk.

Cell: 5.412 5.114 3.045 Å, 76.16 83.66 119.75°
Fractional positions:
Si 0.500 0.500 0.000
Sb 0.000 0.500 0.500
Mo 0.500 0.000 0.500
Mo 0.000 0.000 0.000

Properties
space-group type = C2/m (12)
V = 17.09 Å³/atom
polymorph energy (0 for the lowest one) = 467 meV/atom


17.
The following is a PBE calculation of an optimized crystal structure of SiSbMo2, from Alexandria via LeMat-Bulk.

Cell: 8.209 8.209 8.209 Å, 21.97 21.97 21.97°
Fractional positions:
Si 0.750 0.750 0.750
Mo 0.007 0.007 0.007
Mo 0.493 0.493 0.493
Sb 0.250 0.250 0.250

Properties
space-group type = R-3m (166)
V = 16.97 Å³/atom
polymorph energy (0 for the lowest one) = 312 meV/atom


18.
The following is a PBE calculation of an optimized crystal structure of SiSbMo2, from Alexandria via LeMat-Bulk.

Cell: 3.534 3.199 6.382 Å, 69.19 90.00 90.00°
Fractional positions:
Sb 0.500 0.250 0.250
Si 0.500 0.750 0.750
Mo 0.000 0.899 0.976
Mo 0.000 0.601 0.524

Properties
space-group type = P2/m (10)
V = 16.86 Å³/atom
polymorph energy (0 for the lowest one) = 211 meV/atom


19.
The following is a PBE calculation of an optimized crystal structure of SiSbMo4, from Alexandria via LeMat-Bulk.

Cell: 5.286 5.286 5.286 Å, 60.00 60.00 60.00°
Fractional positions:
Si 0.000 0.000 0.000
Sb 0.750 0.750 0.750
Mo 0.375 0.375 0.375
Mo 0.876 0.375 0.375
Mo 0.375 0.876 0.375
Mo 0.375 0.375 0.876

Properties
electronic total energy = -8.33 eV/atom
space-group type = F-43m (216)
V = 17.40 Å³/atom


20.
The following is a PBE calculation of an optimized crystal structure of SiSbMo3, from Alexandria via LeMat-Bulk.

Cell: 4.529 4.529 4.529 Å, 90.00 90.00 90.00°
Fractional positions:
Mo 0.500 0.000 0.000
Mo 0.000 0.000 0.500
Mo 0.000 0.500 0.000
Sb 0.500 0.500 0.500
Si 0.000 0.000 0.000

Properties
space-group type = Pm-3m (221)
V = 18.58 Å³/atom
polymorph energy (0 for the lowest one) = 0 meV/atom